Entry 1:
Entry from the Alexandria database: crystalline W2AuOF at its relaxed geometry (GGA+U).

Geometry as POSCAR:
```
W2AuOF
1.0
-2.4955 -4.7615 1.1880
0.0181 -0.9828 -3.9011
4.9074 -2.4145 0.6311
Au W O F
1 2 1 1
Direct
0.0000 0.0000 0.0000
0.5000 0.0000 0.0000
0.0000 0.0000 0.5000
0.0000 0.5000 0.0000
0.5000 0.5000 0.5000
```

Computed properties:
- DFT total energy: -3.80 eV per atom

Entry 2:
Entry from the Alexandria database: crystalline WAuO2F at its relaxed geometry (GGA+U).

Geometry as POSCAR:
```
WAuO2F
1.0
4.0413 0.0000 0.0000
0.0000 4.0413 0.0000
0.0000 0.0000 4.2577
W O F Au
1 2 1 1
Direct
0.0000 0.0000 0.0000
0.0000 0.5000 0.0000
0.5000 0.0000 0.0000
0.0000 0.0000 0.5000
0.5000 0.5000 0.5000
```

Computed properties:
- DFT total energy: -5.58 eV per atom